A relaxed structure of Ni2TeWBr, computed with PBE.

E_form (uncorrected)   1.320 eV/atom

a b c (Å): 4.393 4.393 5.074
angles (deg): 90.00 90.00 90.00
Fractional positions:
Ni 0.000 0.500 0.000
Ni 0.500 0.000 0.000
Te 0.000 0.000 0.500
W 0.500 0.500 0.500
Br 0.500 0.500 0.000

A relaxed structure of YNi2TeBr, computed with PBE.

E_form (uncorrected)   0.678 eV/atom

a b c (Å): 5.127 5.127 5.174
angles (deg): 90.00 90.00 90.00
Fractional positions:
Y 0.000 0.000 0.000
Ni 0.000 0.500 0.000
Ni 0.500 0.000 0.000
Te 0.500 0.500 0.500
Br 0.000 0.000 0.500

A relaxed structure of YNiTe2Br, computed with PBE.

E_form (uncorrected)   0.207 eV/atom

a b c (Å): 5.786 5.786 4.301
angles (deg): 90.00 90.00 90.00
Fractional positions:
Y 0.000 0.000 0.000
Ni 0.500 0.500 0.000
Te 0.000 0.500 0.500
Te 0.500 0.000 0.500
Br 0.500 0.500 0.500

A relaxed structure of Th2NiBr2, computed with PBE.

E_form (uncorrected)   -1.025 eV/atom

a b c (Å): 11.221 11.221 11.221
angles (deg): 21.13 21.13 21.13
Fractional positions:
Th 0.121 0.121 0.121
Th 0.879 0.879 0.879
Ni 0.500 0.500 0.500
Br 0.275 0.275 0.275
Br 0.725 0.725 0.725

A relaxed structure of Th6NiBr15, computed with PBE.

E_form (uncorrected)   -1.521 eV/atom

a b c (Å): 10.170 10.170 10.170
angles (deg): 109.47 109.47 109.47
Fractional positions:
Th 0.000 0.240 0.240
Th 0.000 0.760 0.760
Th 0.240 0.000 0.240
Th 0.240 0.240 0.000
Th 0.760 0.000 0.760
Th 0.760 0.760 0.000
Ni 0.000 0.000 0.000
Br 0.000 0.250 0.750
Br 0.000 0.500 0.500
Br 0.000 0.750 0.250
Br 0.250 0.000 0.750
Br 0.250 0.250 0.500
Br 0.250 0.500 0.250
Br 0.250 0.750 0.000
Br 0.500 0.000 0.500
Br 0.500 0.250 0.250
Br 0.500 0.500 0.000
Br 0.500 0.750 0.750
Br 0.750 0.000 0.250
Br 0.750 0.250 0.000
Br 0.750 0.500 0.750
Br 0.750 0.750 0.500

A relaxed structure of TiNiBr2, computed with PBE.

E_form (uncorrected)   0.124 eV/atom
ΔE to the lowest computed polymorph   0.153 eV per atom

a b c (Å): 4.642 4.642 4.642
angles (deg): 60.00 60.00 60.00
Fractional positions:
Ti 0.000 0.000 0.000
Ni 0.500 0.500 0.500
Br 0.250 0.250 0.250
Br 0.750 0.750 0.750